Entry 1:
VASP calculation (meta-GGA SCAN) on a crystal of MnNi2Pt2 relaxed with PBEsol.

a = 3.2755 Å, b = 3.2755 Å, c = 12.9211 Å
α = 90.00°, β = 90.00°, γ = 90.00°
Last column: nearest neighbours and their distance in Å.
Space group I4/mmm (No. 139)
Symmetry-distinct sites (fractional):
Mn 0.0000 0.0000 0.0000  8 Pt 2.67
Ni 0.0000 0.5000 0.2500  4 Ni 2.32, 4 Pt 2.52
Pt 0.0000 0.0000 0.3978  4 Ni 2.52, 1 Pt 2.64, 4 Mn 2.67

Values from the calculation:
Raw total energy   -38.3113 eV/atom
E_form   -0.11 eV per atom

Entry 2:
VASP calculation (meta-GGA SCAN) on a crystal of MnNiPt4 relaxed with PBEsol.

a = 7.2570 Å, b = 7.2570 Å, c = 7.2570 Å
α = 90.00°, β = 90.00°, γ = 90.00°
Last column: nearest neighbours and their distance in Å.
Space group F-43m (No. 216)
Symmetry-distinct sites (fractional):
Mn 0.0000 0.0000 0.0000  12 Pt 3.01, 4 Ni 3.14
Ni 0.2500 0.2500 0.2500  12 Pt 3.01, 4 Mn 3.14
Pt 0.1248 0.1248 0.6248  6 Pt 2.56-2.57

Values from the calculation:
Raw total energy   -52.6151 eV/atom
E_form   -0.08 eV per atom

Entry 3:
VASP calculation (meta-GGA SCAN) on a crystal of MnNiPt2 relaxed with PBEsol.

a = 2.7164 Å, b = 3.6602 Å, c = 5.3777 Å
α = 90.00°, β = 90.00°, γ = 90.00°
Last column: nearest neighbours and their distance in Å.
Space group Pmm2 (No. 25)
Symmetry-distinct sites (fractional):
Mn 0.0000 0.0000 0.0000  5 Pt 2.53-2.63, 4 Ni 2.61, 2 Mn 2.72
Ni 0.5000 0.5000 0.2374  6 Pt 2.59-2.79, 4 Mn 2.61, 2 Ni 2.72
Pt 0.0000 0.0000 0.4711  1 Mn 2.53, 4 Ni 2.60, 6 Pt 2.72-2.75
Pt 0.5000 0.5000 0.7563  2 Ni 2.59-2.79, 4 Mn 2.63, 6 Pt 2.72-2.75

Values from the calculation:
Raw total energy   -44.0888 eV/atom
E_form   -0.39 eV per atom